# 1
The following is a GGA-PBEsol calculation of a geometry-optimized CaCd2Hg2 structure, from Alexandria.

abc: 7.292 7.292 7.292
angles: 145.96 145.96 48.91
Sites, in units of the cell vectors:
Ca1 0.000 0.000 0.000
Cd1 0.250 0.750 0.500
Cd2 0.750 0.250 0.500
Hg1 0.396 0.396 0.000
Hg2 0.604 0.604 0.000

Properties
* density of states at the Fermi level: 0.412 states/eV/atom
* formation enthalpy at 0 K: -0.306 eV per atom
* total DFT energy (no corrections): -1.4382 eV/atom



# 2
The following is a GGA-PBEsol calculation of a geometry-optimized CaCdHg structure, from Alexandria.

abc: 5.598 5.598 5.598
angles: 140.69 139.03 58.08
Sites, in units of the cell vectors:
Ca1 0.000 0.000 0.000
Cd1 0.323 0.323 0.000
Hg1 0.672 0.672 0.000

Properties
* density of states at the Fermi level: 0.293 states/eV/atom
* formation enthalpy at 0 K: -0.408 eV per atom
* total DFT energy (no corrections): -1.7072 eV/atom



# 3
The following is a GGA-PBEsol calculation of a geometry-optimized CaCdHg structure, from Alexandria.

abc: 4.888 4.888 3.537
angles: 90.00 90.00 120.00
Sites, in units of the cell vectors:
Ca1 0.000 0.000 0.000
Cd1 0.333 0.667 0.500
Hg1 0.667 0.333 0.500

Properties
* density of states at the Fermi level: 0.572 states/eV/atom
* formation enthalpy at 0 K: -0.464 eV per atom
* total DFT energy (no corrections): -1.7627 eV/atom



# 4
The following is a GGA-PBEsol calculation of a geometry-optimized CaHoCd2 structure, from Alexandria.

abc: 5.224 5.224 5.224
angles: 60.00 60.00 60.00
Sites, in units of the cell vectors:
Ca1 0.000 0.000 0.000
Ho1 0.500 0.500 0.500
Cd1 0.250 0.250 0.250
Cd2 0.750 0.750 0.750

Properties
* density of states at the Fermi level: 0.657 states/eV/atom
* formation enthalpy at 0 K: -0.352 eV per atom
* total DFT energy (no corrections): -2.7215 eV/atom



# 5
The following is a GGA-PBEsol calculation of a geometry-optimized CaCd2I2 structure, from Alexandria.

abc: 10.481 10.481 10.481
angles: 158.19 158.19 31.03
Sites, in units of the cell vectors:
Ca1 0.000 0.000 0.000
Cd1 0.250 0.750 0.500
Cd2 0.750 0.250 0.500
I1 0.410 0.410 0.000
I2 0.590 0.590 0.000

Properties
* formation energy (no corrections): -669 meV/atom
* density of states at the Fermi level: 0.229 states/eV/atom
* total DFT energy (no corrections): -2.2816 eV/atom



# 6
The following is a GGA-PBEsol calculation of a geometry-optimized CaCd3I structure, from Alexandria.

abc: 5.986 5.986 5.986
angles: 90.00 90.00 90.00
Sites, in units of the cell vectors:
Ca1 0.000 0.000 0.000
Cd1 0.000 0.000 0.500
Cd2 0.000 0.500 0.000
Cd3 0.500 0.000 0.000
I1 0.500 0.500 0.500

Properties
* formation energy (no corrections): 368 meV/atom
* density of states at the Fermi level: 0.499 states/eV/atom
* total DFT energy (no corrections): -1.1304 eV/atom



# 7
The following is a GGA-PBEsol calculation of a geometry-optimized CaCd3I structure, from Alexandria.

abc: 5.743 5.743 5.743
angles: 90.00 90.00 90.00
Sites, in units of the cell vectors:
Ca1 0.000 0.000 0.000
Cd1 0.000 0.500 0.500
Cd2 0.500 0.000 0.500
Cd3 0.500 0.500 0.000
I1 0.500 0.500 0.500

Properties
* formation energy (no corrections): 505 meV/atom
* density of states at the Fermi level: 0.690 states/eV/atom
* total DFT energy (no corrections): -0.9937 eV/atom



# 8
The following is a GGA-PBEsol calculation of a geometry-optimized Ca2CdI2 structure, from Alexandria.

abc: 7.453 7.453 7.453
angles: 137.21 137.21 62.12
Sites, in units of the cell vectors:
Ca1 0.250 0.750 0.500
Ca2 0.750 0.250 0.500
Cd1 0.000 0.000 0.000
I1 0.360 0.360 0.000
I2 0.640 0.640 0.000

Properties
* formation energy (no corrections): -546 meV/atom
* density of states at the Fermi level: 1.201 states/eV/atom
* total DFT energy (no corrections): -2.3458 eV/atom



# 9
The following is a GGA-PBEsol calculation of a geometry-optimized Ca2CdI2 structure, from Alexandria.

abc: 8.330 8.330 4.697
angles: 90.00 90.00 90.00
Sites, in units of the cell vectors:
Ca1 0.161 0.339 0.000
Ca2 0.339 0.839 0.000
Ca3 0.661 0.161 0.000
Ca4 0.839 0.661 0.000
Cd1 0.000 0.000 0.000
Cd2 0.500 0.500 0.000
I1 0.154 0.654 0.500
I2 0.346 0.154 0.500
I3 0.654 0.846 0.500
I4 0.846 0.346 0.500

Properties
* formation energy (no corrections): -708 meV/atom
* density of states at the Fermi level: 0.462 states/eV/atom
* total DFT energy (no corrections): -2.5076 eV/atom



# 10
The following is a GGA-PBEsol calculation of a geometry-optimized SrCaCdI2 structure, from Alexandria.

abc: 5.843 5.843 7.529
angles: 90.00 90.00 90.00
Sites, in units of the cell vectors:
Sr1 0.000 0.000 0.000
Ca1 0.000 0.000 0.500
Cd1 0.500 0.500 0.000
I1 0.000 0.500 0.500
I2 0.500 0.000 0.500

Properties
* formation energy (no corrections): -438 meV/atom
* density of states at the Fermi level: 0.069 states/eV/atom
* total DFT energy (no corrections): -2.1793 eV/atom



# 11
The following is a GGA-PBEsol calculation of a geometry-optimized Ca2CdIn structure, from Alexandria.

abc: 6.198 6.198 5.484
angles: 108.91 108.91 33.86
Sites, in units of the cell vectors:
Ca1 0.000 0.000 0.000
Ca2 0.205 0.205 0.655
Cd1 0.748 0.748 0.179
In1 0.452 0.452 0.469

Properties
* density of states at the Fermi level: 0.607 states/eV/atom
* formation enthalpy at 0 K: -0.353 eV per atom
* total DFT energy (no corrections): -2.4644 eV/atom



# 12
The following is a GGA-PBEsol calculation of a geometry-optimized CaCd2In2 structure, from Alexandria.

abc: 7.026 7.026 7.026
angles: 142.81 142.81 53.60
Sites, in units of the cell vectors:
Ca1 0.000 0.000 0.000
Cd1 0.250 0.750 0.500
Cd2 0.750 0.250 0.500
In1 0.391 0.391 0.000
In2 0.609 0.609 0.000

Properties
* density of states at the Fermi level: 0.400 states/eV/atom
* formation enthalpy at 0 K: -0.248 eV per atom
* total DFT energy (no corrections): -2.3468 eV/atom



# 13
The following is a GGA-PBEsol calculation of a geometry-optimized CaCd2In structure, from Alexandria.

abc: 9.519 9.519 9.519
angles: 21.73 21.73 21.73
Sites, in units of the cell vectors:
Ca1 0.000 0.000 0.000
Cd1 0.497 0.497 0.497
Cd2 0.755 0.755 0.755
In1 0.241 0.241 0.241

Properties
* density of states at the Fermi level: 0.509 states/eV/atom
* formation enthalpy at 0 K: -0.072 eV per atom
* total DFT energy (no corrections): -1.9499 eV/atom



# 14
The following is a GGA-PBEsol calculation of a geometry-optimized Ca2CdIn structure, from Alexandria.

abc: 5.337 5.337 5.337
angles: 60.00 60.00 60.00
Sites, in units of the cell vectors:
Ca1 0.250 0.250 0.250
Ca2 0.750 0.750 0.750
Cd1 0.000 0.000 0.000
In1 0.500 0.500 0.500

Properties
* density of states at the Fermi level: 0.538 states/eV/atom
* formation enthalpy at 0 K: -0.451 eV per atom
* total DFT energy (no corrections): -2.5630 eV/atom



# 15
The following is a GGA-PBEsol calculation of a geometry-optimized CaCd2In structure, from Alexandria.

abc: 3.390 4.906 5.956
angles: 90.00 90.40 90.00
Sites, in units of the cell vectors:
Ca1 0.000 0.000 0.000
Cd1 0.500 0.000 0.496
Cd2 0.503 0.500 0.248
In1 0.496 0.500 0.755

Properties
* density of states at the Fermi level: 0.433 states/eV/atom
* formation enthalpy at 0 K: -0.243 eV per atom
* total DFT energy (no corrections): -2.1202 eV/atom